Record 1
PBE Ba2Cd2Bi, relaxed; magnetic moment = 0.000 μB/atom; relative energy among the computed polymorphs = 212.7 meV per atom; D(E_F) = 6.00 states/eV/cell
1.0
9.852 0.000 0.000
0.000 9.852 0.000
0.000 0.000 4.173
Ba Cd Bi
4 4 2
Direct
0.190 0.310 0.000
0.310 0.810 0.000
0.690 0.190 0.000
0.810 0.690 0.000
0.106 0.606 0.500
0.394 0.106 0.500
0.606 0.894 0.500
0.894 0.394 0.500
0.000 0.000 0.000
0.500 0.500 0.000

---

Record 2
PBE TbCeTe2, relaxed; magnetic moment = 0.300 μB/atom; relative energy among the computed polymorphs = 0.0 meV per atom; D(E_F) = 7.55 states/eV/cell; formation energy (no corrections) = -5.40 eV per formula unit
1.0
2.199 1.270 7.343
-2.199 1.270 7.343
0.000 -2.540 7.343
Tb Ce Te
1 1 2
Direct
0.000 0.000 0.000
0.500 0.500 0.500
0.253 0.253 0.253
0.747 0.747 0.747

---

Record 3
PBE YNi2Hg2, relaxed; magnetic moment = 0.000 μB/atom; relative energy among the computed polymorphs = 2.1 meV per atom; D(E_F) = 6.55 states/eV/cell
1.0
7.027 0.000 0.000
0.000 7.027 0.000
0.000 0.000 3.745
Y Ni Hg
2 4 4
Direct
0.000 0.000 0.000
0.500 0.500 0.000
0.124 0.376 0.000
0.376 0.876 0.000
0.624 0.124 0.000
0.876 0.624 0.000
0.168 0.668 0.500
0.332 0.168 0.500
0.668 0.832 0.500
0.832 0.332 0.500

---

Record 4
PBE Pr3NdPb2S, relaxed; magnetic moment = 0.000 μB/atom; D(E_F) = 4.50 states/eV/cell; formation energy (no corrections) = -5.53 eV per formula unit
1.0
-2.645 2.661 8.409
2.645 -2.661 8.409
2.645 2.661 -8.409
Pr Nd Pb S
3 1 2 1
Direct
0.000 0.000 0.000
0.331 0.831 0.500
0.669 0.169 0.500
0.500 0.500 0.000
0.136 0.636 0.500
0.864 0.364 0.500
0.500 0.000 0.500

---

Record 5
PBE Pm2GdSi, relaxed; magnetic moment = 1.994 μB/atom; relative energy among the computed polymorphs = 292.0 meV per atom; D(E_F) = 7.47 states/eV/cell; formation energy (no corrections) = 0.10 eV per formula unit
1.0
1.850 1.068 10.860
-1.850 1.068 10.860
0.000 -2.136 10.860
Pm Gd Si
2 1 1
Direct
0.107 0.107 0.107
0.893 0.893 0.893
0.000 0.000 0.000
0.500 0.500 0.500

---

Record 6
PBE Tb6Pm3Nd2Mg, relaxed; magnetic moment = 0.000 μB/atom; E_tot = -52.92 eV per cell; D(E_F) = 17.62 states/eV/cell
1.0
3.098 -5.368 0.000
3.098 5.368 0.000
-2.073 0.000 11.692
Tb Pm Nd Mg
6 3 2 1
Direct
0.082 0.414 0.249
0.249 0.249 0.750
0.414 0.082 0.249
0.586 0.918 0.751
0.751 0.751 0.250
0.918 0.586 0.751
0.166 0.834 0.500
0.500 0.500 0.500
0.834 0.166 0.500
0.334 0.666 0.000
0.666 0.334 0.000
0.000 0.000 0.000

---

Record 7
PBE SmHoAlPt, relaxed; magnetic moment = 0.000 μB/atom; E_tot = -21.86 eV per cell; D(E_F) = 2.38 states/eV/cell
1.0
0.000 3.589 3.589
3.589 0.000 3.589
3.589 3.589 0.000
Sm Ho Al Pt
1 1 1 1
Direct
0.000 0.000 0.000
0.500 0.500 0.500
0.250 0.250 0.250
0.750 0.750 0.750

---

Record 8
PBE Ag2RhAu, relaxed; magnetic moment = 0.076 μB/atom; E_tot = -15.69 eV per cell; D(E_F) = 2.37 states/eV/cell
1.0
2.783 0.000 0.000
0.000 4.860 0.000
-0.205 0.000 5.017
Ag Rh Au
2 1 1
Direct
0.243 0.000 0.246
0.757 0.000 0.754
0.500 0.500 0.000
0.000 0.500 0.500

---

Record 9
PBE Na3TaAs, relaxed; magnetic moment = 0.615 μB/atom; relative energy among the computed polymorphs = 0.0 meV per atom; D(E_F) = 5.70 states/eV/cell
1.0
5.458 0.000 0.000
0.000 5.458 0.000
0.000 0.000 5.458
Na Ta As
3 1 1
Direct
0.000 0.000 0.500
0.000 0.500 0.000
0.500 0.000 0.000
0.500 0.500 0.500
0.000 0.000 0.000

---

Record 10
PBE SrAlCdGa2, relaxed; magnetic moment = 0.000 μB/atom; E_tot = -14.16 eV per cell; D(E_F) = 0.98 states/eV/cell
1.0
-2.223 2.223 5.721
2.223 -2.223 5.721
2.223 2.223 -5.721
Sr Al Cd Ga
1 1 1 2
Direct
0.000 0.000 0.000
0.750 0.250 0.500
0.250 0.750 0.500
0.389 0.389 0.000
0.611 0.611 0.000

---

Record 11
PBE CaSnRh, relaxed; magnetic moment = 0.000 μB/atom; E_tot = -14.96 eV per cell; D(E_F) = 2.52 states/eV/cell
1.0
4.668 0.000 0.000
-2.334 4.042 0.000
0.000 0.000 3.556
Ca Sn Rh
1 1 1
Direct
0.000 0.000 0.000
0.333 0.667 0.500
0.667 0.333 0.500

---

Record 12
PBE MnSICl2, relaxed; magnetic moment = 0.037 μB/atom; relative energy among the computed polymorphs = 0.0 meV per atom; D(E_F) = 6.07 states/eV/cell; formation energy (no corrections) = 0.55 eV per formula unit
1.0
4.712 0.000 0.000
0.000 4.712 0.000
0.000 0.000 4.568
Mn S I Cl
1 1 1 2
Direct
0.000 0.000 0.000
0.000 0.000 0.500
0.500 0.500 0.500
0.000 0.500 0.000
0.500 0.000 0.000

---

Record 13
PBE Ac3Mg2Tl7, relaxed; magnetic moment = 0.000 μB/atom; E_tot = -35.00 eV per cell; D(E_F) = 5.55 states/eV/cell
1.0
4.908 0.000 0.000
0.000 4.913 0.000
-2.410 0.000 15.445
Ac Mg Tl
3 2 7
Direct
0.000 0.000 0.000
0.313 0.500 0.627
0.687 0.500 0.373
0.132 0.000 0.268
0.868 0.000 0.732
0.081 0.500 0.166
0.224 0.000 0.446
0.418 0.000 0.834
0.500 0.500 0.000
0.582 0.000 0.166
0.776 0.000 0.554
0.919 0.500 0.834

---

Record 14
PBE Ba8ZnCd2, relaxed; magnetic moment = 0.000 μB/atom; relative energy among the computed polymorphs = 0.0 meV per atom; D(E_F) = 15.38 states/eV/cell
1.0
10.689 -3.023 0.000
10.689 3.023 0.000
-2.495 0.000 7.966
Ba Zn Cd
8 1 2
Direct
0.031 0.031 0.299
0.206 0.206 0.812
0.337 0.337 0.535
0.407 0.407 0.064
0.593 0.593 0.936
0.663 0.663 0.465
0.794 0.794 0.188
0.969 0.969 0.701
0.500 0.500 0.500
0.184 0.184 0.213
0.816 0.816 0.787

---

Record 15
PBE Pr2GaSn, relaxed; magnetic moment = 0.070 μB/atom; E_tot = -38.84 eV per cell; D(E_F) = 7.50 states/eV/cell
1.0
6.285 0.000 0.000
0.000 4.292 0.000
-2.839 0.000 8.630
Pr Ga Sn
4 2 2
Direct
0.202 0.250 0.425
0.281 0.750 0.064
0.719 0.250 0.936
0.798 0.750 0.575
0.131 0.250 0.790
0.869 0.750 0.210
0.367 0.750 0.712
0.633 0.250 0.288

---

Record 16
PBE KSnGe2Se6, relaxed; magnetic moment = 0.029 μB/atom; D(E_F) = 10.49 states/eV/cell; formation energy (no corrections) = -3.45 eV per formula unit
1.0
6.857 -7.050 0.000
6.857 7.050 0.000
-2.296 0.000 6.891
K Sn Ge Se
2 2 4 12
Direct
0.126 0.874 0.750
0.874 0.126 0.250
0.237 0.763 0.250
0.763 0.237 0.750
0.220 0.366 0.793
0.366 0.220 0.293
0.634 0.780 0.707
0.780 0.634 0.207
0.030 0.187 0.703
0.128 0.583 0.890
0.187 0.030 0.203
0.305 0.417 0.519
0.417 0.305 0.019
0.417 0.872 0.610
0.583 0.128 0.390
0.583 0.695 0.981
0.695 0.583 0.481
0.813 0.970 0.797
0.872 0.417 0.110
0.970 0.813 0.297

---

Record 17
PBE CdGa3F, relaxed; magnetic moment = 0.000 μB/atom; relative energy among the computed polymorphs = 0.0 meV per atom; D(E_F) = 2.64 states/eV/cell; formation energy (no corrections) = -1.83 eV per formula unit
1.0
4.735 0.000 0.000
0.000 4.735 0.000
0.000 0.000 4.735
Cd Ga F
1 3 1
Direct
0.000 0.000 0.000
0.000 0.500 0.500
0.500 0.000 0.500
0.500 0.500 0.000
0.500 0.500 0.500

---

Record 18
PBE Y6TlCd2, relaxed; magnetic moment = 0.000 μB/atom; E_tot = -89.49 eV per cell; D(E_F) = 28.36 states/eV/cell
1.0
10.123 0.000 0.000
0.000 10.123 0.000
0.000 0.000 5.097
Y Tl Cd
12 2 4
Direct
0.011 0.324 0.000
0.132 0.868 0.500
0.176 0.511 0.500
0.324 0.011 0.000
0.368 0.368 0.000
0.489 0.824 0.500
0.511 0.176 0.500
0.632 0.632 0.000
0.676 0.989 0.000
0.824 0.489 0.500
0.868 0.132 0.500
0.989 0.676 0.000
0.000 0.000 0.000
0.500 0.500 0.500
0.193 0.193 0.500
0.307 0.693 0.000
0.693 0.307 0.000
0.807 0.807 0.500

---

Record 19
PBE CsCuSn2O, relaxed; magnetic moment = 0.000 μB/atom; D(E_F) = 4.96 states/eV/cell; formation energy (no corrections) = 6.05 eV per formula unit
1.0
6.401 0.000 0.000
0.000 6.401 0.000
0.000 0.000 4.293
Cs Cu Sn O
1 1 2 1
Direct
0.000 0.000 0.000
0.500 0.500 0.500
0.000 0.500 0.000
0.500 0.000 0.000
0.000 0.000 0.500

---

Record 20
PBE La3AlO6, relaxed; magnetic moment = 0.000 μB/atom; D(E_F) = 0.00 states/eV/cell; formation energy (no corrections) = -33.76 eV per formula unit
1.0
4.708 -5.921 0.000
4.708 5.921 0.000
0.000 0.000 5.646
La Al O
6 2 12
Direct
0.106 0.894 0.500
0.199 0.415 0.464
0.415 0.199 0.964
0.585 0.801 0.464
0.801 0.585 0.964
0.894 0.106 0.000
0.307 0.693 0.922
0.693 0.307 0.422
0.093 0.612 0.772
0.148 0.170 0.728
0.170 0.148 0.228
0.288 0.712 0.237
0.388 0.907 0.772
0.448 0.552 0.807
0.552 0.448 0.307
0.612 0.093 0.272
0.712 0.288 0.737
0.830 0.852 0.728
0.852 0.830 0.228
0.907 0.388 0.272

---

Record 21
PBE PdRu3O, relaxed; magnetic moment = 1.723 μB/atom; relative energy among the computed polymorphs = 2124.3 meV per atom; D(E_F) = 5.99 states/eV/cell; formation energy (no corrections) = 12.29 eV per formula unit
1.0
4.796 0.000 0.000
0.000 4.796 0.000
0.000 0.000 4.796
Pd Ru O
1 3 1
Direct
0.000 0.000 0.000
0.000 0.000 0.500
0.000 0.500 0.000
0.500 0.000 0.000
0.500 0.500 0.500

---

Record 22
PBE CaMg14Zr, relaxed; magnetic moment = 0.000 μB/atom; relative energy among the computed polymorphs = 16.8 meV per atom; D(E_F) = 9.42 states/eV/cell
1.0
6.537 0.000 0.000
-3.268 5.661 0.000
0.000 0.000 10.307
Ca Mg Zr
1 14 1
Direct
0.000 0.000 0.000
0.002 0.501 0.500
0.009 0.504 0.000
0.167 0.334 0.259
0.167 0.334 0.741
0.167 0.833 0.259
0.167 0.833 0.741
0.496 0.504 0.000
0.496 0.991 0.000
0.499 0.501 0.500
0.499 0.998 0.500
0.666 0.833 0.259
0.666 0.833 0.741
0.667 0.333 0.247
0.667 0.333 0.753
0.000 0.000 0.500

---

Record 23
PBE Tb2AlCo, relaxed; magnetic moment = 0.000 μB/atom; E_tot = -20.90 eV per cell; D(E_F) = 2.87 states/eV/cell
1.0
-2.103 3.903 2.773
2.103 -3.903 2.773
2.103 3.903 -2.773
Tb Al Co
2 1 1
Direct
0.217 0.000 0.217
0.783 0.000 0.783
0.530 0.530 0.000
0.806 0.306 0.500

---

Record 24
PBE Li6AlIn2, relaxed; magnetic moment = 0.000 μB/atom; relative energy among the computed polymorphs = 0.0 meV per atom; D(E_F) = 1.75 states/eV/cell
1.0
8.064 0.000 0.000
-4.032 6.984 0.000
0.000 0.000 2.842
Li Al In
6 1 2
Direct
0.000 0.328 0.000
0.000 0.672 0.000
0.328 0.000 0.000
0.328 0.328 0.000
0.672 0.000 0.000
0.672 0.672 0.000
0.000 0.000 0.500
0.333 0.667 0.500
0.667 0.333 0.500